Below is Hg3O2 after structural relaxation, with properties calculated at the PBE level.

The raw total energy is -2.311 eV/atom. The formation energy without anion corrections comes out at -0.15 eV per atom.

It has space group C2/c (No. 15), with a = 10.427 Å, b = 5.549 Å, c = 7.014 Å, α = 90.00°, β = 90.23° and γ = 90.00°. The inequivalent atoms are Hg at (0.000, 0.002, 0.250), Hg at (0.174, 0.440, 0.000) and O at (0.063, 0.238, 0.501).



Below is Sr3Cu5Br12 after structural relaxation, with properties calculated at the PBE level.

The calculation puts the density of states at the Fermi level at 115.45 states/eV per cell. The raw total energy is -3.360 eV/atom. The formation energy without anion corrections comes out at -1.08 eV per atom.

It has space group Ia-3d (No. 230), with a = 16.486 Å, b = 16.486 Å, c = 16.486 Å, α = 90.00°, β = 90.00° and γ = 90.00°. The inequivalent atoms are Sr at (0.000, 0.250, 0.125), Cu at (0.000, 0.000, 0.000), Cu at (0.000, 0.250, 0.375) and Br at (0.030, 0.056, 0.649).



Below is MnNi14Mo after structural relaxation, with properties calculated at the PBE level.

The calculation puts the density of states at the Fermi level at 27.97 states/eV per cell. The raw total energy is -6.332 eV/atom. As for the formation energy: -0.023 eV per atom.

It has space group P4/mmm (No. 123), with a = 5.044 Å, b = 5.044 Å, c = 7.089 Å, α = 90.00°, β = 90.00° and γ = 90.00°. The inequivalent atoms are Mn at (0.000, 0.000, 0.000), Ni at (0.000, 0.000, 0.500), Ni at (0.000, 0.500, 0.000), Ni at (0.000, 0.500, 0.500), Ni at (0.250, 0.250, 0.254), Ni at (0.500, 0.500, 0.500) and Mo at (0.500, 0.500, 0.000).



Below is Y2MgIn after structural relaxation, with properties calculated at the PBE level.

The calculation puts the density of states at the Fermi level at 19.28 states/eV per cell. The raw total energy is -4.321 eV/atom. As for the formation energy: -0.005 eV per atom.

It has space group F-43m (No. 216), with a = 7.587 Å, b = 7.587 Å, c = 7.587 Å, α = 90.00°, β = 90.00° and γ = 90.00°. The inequivalent atoms are Y at (0.000, 0.000, 0.000), Y at (0.250, 0.250, 0.250), Mg at (0.250, 0.250, 0.750) and In at (0.000, 0.000, 0.500).



Below is PdBr3F after structural relaxation, with properties calculated at the PBE level.

The calculation puts the density of states at the Fermi level at 8.27 states/eV per cell. The raw total energy is -2.340 eV/atom. Its relative energy among the computed polymorphs is 490 meV/atom. The formation energy without anion corrections comes out at 0.08 eV per atom.

It has space group Pm-3m (No. 221), with a = 5.089 Å, b = 5.089 Å, c = 5.089 Å, α = 90.00°, β = 90.00° and γ = 90.00°. The inequivalent atoms are Pd at (0.000, 0.000, 0.000), Br at (0.000, 0.000, 0.500) and F at (0.500, 0.500, 0.500).



Below is AcPm2Pt2 after structural relaxation, with properties calculated at the PBE level.

The calculation puts the density of states at the Fermi level at 16.45 states/eV per cell. The raw total energy is -5.945 eV/atom. Its relative energy among the computed polymorphs is 106 meV/atom. As for the formation energy: -0.807 eV per atom.

It has space group C2/c (No. 15), with a = 10.246 Å, b = 10.778 Å, c = 7.663 Å, α = 90.00°, β = 131.80° and γ = 90.00°. The inequivalent atoms are Ac at (0.000, 0.125, 0.250), Pm at (0.153, 0.375, 0.055), Pt at (0.000, 0.157, 0.750) and Pt at (0.000, 0.406, 0.250).